Entry 1:
A relaxed Ac2TlZn3Ag4 crystal, computed with PBE.

Summary:
calculated density = 9.0 g/cm³
E_tot = -2.802 eV per atom
total magnetization = 0.000 μB per formula unit
symmetry = P-4m2

Unit cell a=4.438 b=4.438 c=12.022 alpha=90.00 beta=90.00 gamma=90.00
Sites, in units of the cell vectors:
Ac1 0.500 0.000 0.239
Ac2 0.000 0.500 0.761
Tl1 0.500 0.500 0.500
Zn1 0.000 0.000 0.500
Zn2 0.500 0.000 0.873
Zn3 0.000 0.500 0.127
Ag1 0.500 0.500 0.000
Ag2 0.000 0.000 0.000
Ag3 0.500 0.000 0.654
Ag4 0.000 0.500 0.346

=====

Entry 2:
A relaxed MgZn8 crystal, computed with PBE.

Summary:
calculated density = 6.4 g/cm³
E_tot = -1.318 eV per atom
total magnetization = 0.000 μB per formula unit
symmetry = I4/mmm

Unit cell a=6.323 b=6.323 c=8.501 alpha=47.77 beta=47.77 gamma=84.47
Sites, in units of the cell vectors:
Mg1 0.000 0.000 0.000
Zn1 0.000 0.000 0.337
Zn2 0.000 0.000 0.663
Zn3 0.337 0.663 0.000
Zn4 0.328 0.672 0.328
Zn5 0.328 0.672 0.672
Zn6 0.663 0.337 0.000
Zn7 0.672 0.328 0.328
Zn8 0.672 0.328 0.672

=====

Entry 3:
A relaxed Pb2IOF crystal, computed with PBE.

Summary:
calculated density = 6.8 g/cm³
E_tot = -4.490 eV per atom
ΔE_f (raw) = -1.33 eV per atom
total magnetization = 0.000 μB per formula unit
symmetry = C2/m

Unit cell a=4.358 b=7.172 c=9.478 alpha=97.09 beta=90.00 gamma=107.69
Sites, in units of the cell vectors:
Pb1 0.414 0.828 0.724
Pb2 0.586 0.172 0.276
Pb3 0.121 0.242 0.940
Pb4 0.879 0.758 0.060
I1 0.355 0.710 0.347
I2 0.645 0.290 0.653
O1 0.044 0.088 0.159
O2 0.956 0.912 0.841
F1 0.657 0.314 0.057
F2 0.343 0.686 0.943

=====

Entry 4:
A relaxed Dy4ErPd2 crystal, computed with PBE.

Summary:
calculated density = 9.2 g/cm³
E above lowest polymorph = 0 kJ/mol of formula units
E_tot = -5.203 eV per atom
total magnetization = 0.000 μB per formula unit
symmetry = P2_1/m

Unit cell a=6.336 b=7.810 c=8.113 alpha=112.81 beta=90.00 gamma=90.00
Sites, in units of the cell vectors:
Dy1 0.505 0.408 0.772
Dy2 0.250 0.244 0.347
Dy3 0.750 0.756 0.653
Dy4 0.995 0.408 0.772
Dy5 0.750 0.021 0.392
Dy6 0.005 0.592 0.228
Dy7 0.495 0.592 0.228
Dy8 0.250 0.979 0.608
Er1 0.250 0.843 0.972
Er2 0.750 0.157 0.028
Pd1 0.250 0.231 0.990
Pd2 0.750 0.769 0.010
Pd3 0.750 0.382 0.418
Pd4 0.250 0.618 0.582

=====

Entry 5:
A relaxed AcYIrAu crystal, computed with PBE.

Summary:
calculated density = 11.8 g/cm³
E_tot = -6.315 eV per atom
total magnetization = 0.000 μB per formula unit
symmetry = F-43m

Unit cell a=5.193 b=5.193 c=5.193 alpha=60.00 beta=60.00 gamma=60.00
Sites, in units of the cell vectors:
Y1 0.750 0.750 0.750
Ac1 0.250 0.250 0.250
Ir1 0.500 0.500 0.500
Au1 0.000 0.000 0.000

=====

Entry 6:
A relaxed Ba2SnHgPd6 crystal, computed with PBE.

Summary:
calculated density = 8.5 g/cm³
E_tot = -4.402 eV per atom
total magnetization = 0.000 μB per formula unit
symmetry = P-1

Unit cell a=7.090 b=6.885 c=6.879 alpha=62.04 beta=58.92 gamma=89.87
Sites, in units of the cell vectors:
Ba1 0.703 0.297 0.595
Ba2 0.297 0.703 0.405
Sn1 0.000 0.000 0.000
Hg1 0.500 0.500 0.000
Pd1 0.335 0.118 0.495
Pd2 0.881 0.830 0.784
Pd3 0.169 0.665 0.948
Pd4 0.831 0.335 0.052
Pd5 0.119 0.170 0.216
Pd6 0.665 0.882 0.505

=====

Entry 7:
A relaxed Rb3MgC crystal, computed with PBE.

Summary:
calculated density = 2.1 g/cm³
E above lowest polymorph = 0 kJ/mol of formula units
E_tot = -1.651 eV per atom
total magnetization = 0.000 μB per formula unit
symmetry = Pm-3m

Unit cell a=6.152 b=6.152 c=6.152 alpha=90.00 beta=90.00 gamma=90.00
Sites, in units of the cell vectors:
Mg1 0.500 0.500 0.500
C1 0.000 0.000 0.000
Rb1 0.000 0.500 0.000
Rb2 0.000 0.000 0.500
Rb3 0.500 0.000 0.000

=====

Entry 8:
A relaxed Pm4TmTe7 crystal, computed with PBE.

Summary:
calculated density = 6.7 g/cm³
E_tot = -5.200 eV per atom
ΔE_f (raw) = -1.41 eV per atom
total magnetization = 0.000 μB per formula unit
symmetry = Cm

Unit cell a=4.314 b=7.581 c=13.353 alpha=103.95 beta=90.00 gamma=106.53
Sites, in units of the cell vectors:
Pm1 0.700 0.400 0.809
Pm2 0.300 0.599 0.191
Pm3 0.999 0.998 0.997
Pm4 0.114 0.228 0.426
Tm1 0.885 0.770 0.576
Te1 0.745 0.490 0.355
Te2 0.265 0.530 0.649
Te3 0.337 0.674 0.951
Te4 0.661 0.323 0.049
Te5 0.035 0.069 0.778
Te6 0.963 0.926 0.216
Te7 0.496 0.992 0.504

=====

Entry 9:
A relaxed ZnGaPbAu2 crystal, computed with PBE.

Summary:
calculated density = 11.8 g/cm³
E_tot = -3.065 eV per atom
total magnetization = 0.000 μB per formula unit
symmetry = I-4m2

Unit cell a=4.023 b=4.023 c=7.019 alpha=106.65 beta=106.65 gamma=90.00
Sites, in units of the cell vectors:
Zn1 0.750 0.250 0.500
Ga1 0.250 0.750 0.500
Pb1 0.000 0.000 0.000
Au1 0.613 0.613 0.227
Au2 0.387 0.387 0.773

=====

Entry 10:
A relaxed LaPrSm2Bi4 crystal, computed with PBE.

Summary:
calculated density = 8.4 g/cm³
E_tot = -5.300 eV per atom
total magnetization = 0.000 μB per formula unit
symmetry = P2/m

Unit cell a=4.620 b=7.991 c=7.997 alpha=70.52 beta=90.00 gamma=90.00
Sites, in units of the cell vectors:
La1 0.000 0.500 0.500
Pr1 0.500 0.500 0.000
Sm1 0.000 0.000 0.000
Sm2 0.500 0.000 0.500
Bi1 0.000 0.756 0.749
Bi2 0.000 0.244 0.251
Bi3 0.500 0.757 0.247
Bi4 0.500 0.243 0.753

=====

Entry 11:
A relaxed Hg2Sb2Te crystal, computed with PBE.

Summary:
calculated density = 8.7 g/cm³
E above lowest polymorph = 38 kJ/mol of formula units
E_tot = -2.169 eV per atom
ΔE_f (raw) = 0.23 eV per atom
total magnetization = 0.000 μB per formula unit
symmetry = I4/mmm

Unit cell a=4.233 b=4.233 c=8.728 alpha=75.97 beta=75.97 gamma=90.00
Sites, in units of the cell vectors:
Sb1 0.750 0.250 0.500
Sb2 0.250 0.750 0.500
Te1 0.000 0.000 0.000
Hg1 0.408 0.408 0.183
Hg2 0.592 0.592 0.817

=====

Entry 12:
A relaxed Ge3N4 crystal, computed with PBE.

Summary:
calculated density = 5.6 g/cm³
E above lowest polymorph = 44 kJ/mol of formula units
E_tot = -6.722 eV per atom
ΔE_f (raw) = 0.01 eV per atom
total magnetization = 0.000 μB per formula unit
symmetry = I-43d

Unit cell a=5.950 b=5.950 c=5.950 alpha=109.47 beta=109.47 gamma=109.47
Sites, in units of the cell vectors:
Ge1 0.875 0.250 0.125
Ge2 0.750 0.375 0.625
Ge3 0.250 0.125 0.875
Ge4 0.625 0.750 0.375
Ge5 0.125 0.875 0.250
Ge6 0.375 0.625 0.750
N1 0.500 0.000 0.945
N2 0.000 0.445 0.500
N3 0.555 0.555 0.555
N4 0.945 0.500 0.000
N5 0.055 0.055 0.055
N6 0.500 0.000 0.445
N7 0.445 0.500 0.000
N8 0.000 0.945 0.500